A crystal of YSc2Tc relaxed with PBEsol. Source: Alexandria, functional SCAN.

Cell lengths 3.409, 5.086, 9.985 Å; angles 90.00, 90.00, 90.00 degrees
Fractional coordinates of all 8 atoms:
Y (0.000, 0.000, 0.000)
Y (0.500, 0.500, 0.500)
Sc (0.000, 0.500, 0.203)
Sc (0.000, 0.500, 0.797)
Sc (0.500, 0.000, 0.297)
Sc (0.500, 0.000, 0.703)
Tc (0.000, 0.000, 0.500)
Tc (0.500, 0.500, 0.000)

M_tot = 0.02 μB/f.u.
DOS at the Fermi energy = 4.02 states/eV/f.u.
Calculated total energy = -22.950 eV per atom

A crystal of YScTc relaxed with PBEsol. Source: Alexandria, functional SCAN.

Cell lengths 4.556, 4.556, 3.411 Å; angles 90.00, 90.00, 120.00 degrees
Fractional coordinates of all 3 atoms:
Y (0.000, 0.000, 0.000)
Sc (0.667, 0.333, 0.542)
Tc (0.333, 0.667, 0.404)

M_tot = 0.00 μB/f.u.
DOS at the Fermi energy = 2.70 states/eV/f.u.
Calculated total energy = -25.671 eV per atom

> Among the records above, which one has the highest DOS at the Fermi energy?

YSc2Tc

> Among the records above, which one has the lowest DOS at the Fermi energy?

YScTc